The following is a GGA+U calculation of a geometry-optimized V2CrHO6 structure, from the Alexandria database.

For the energy, the calculation gives -290.10 eV per cell.

a = 9.994 Å, b = 9.088 Å, c = 5.201 Å
α = 90.00°, β = 97.58°, γ = 90.00°
Space group C2/c (No. 15)
Inequivalent atoms, fractional coordinates:
V 0.234 0.107 0.147 x8
Cr 0.000 0.397 0.250 x4
H 0.000 0.371 0.750 x4
O 0.091 0.409 0.628 x8
O 0.150 0.290 0.113 x8
O 0.160 0.028 0.441 x8